Entry 1:
Crystalline MnCSe3 at its relaxed geometry. Source: the Alexandria database, functional PBE.

Values from the calculation:
Its space group is Pm-3m, No. 221. For the total energy, the calculation gives -4.342 eV per atom. As for the polymorph energy (0 for the lowest one): 0 meV per atom. The value obtained for the raw formation energy is 1427.3 meV per atom.

Cell and atoms, written as POSCAR:
```
MnCSe3
1.0
4.294 0.000 0.000
0.000 4.294 0.000
0.000 0.000 4.294
Se C Mn
3 1 1
Cartesian
0.000 2.147 0.000
0.000 0.000 2.147
2.147 0.000 0.000
0.000 0.000 0.000
2.147 2.147 2.147
```


Entry 2:
Crystalline Er8Zn2Ir at its relaxed geometry. Source: the Alexandria database, functional PBE.

Values from the calculation:
Its space group is C2/m, No. 12. For the total energy, the calculation gives -4.661 eV per atom. As for the polymorph energy (0 for the lowest one): 0 meV per atom. Its formation energy is -0.31 eV per atom.

Cell and atoms, written as POSCAR:
```
Er8Zn2Ir
1.0
5.069 0.000 0.000
0.000 6.702 0.145
-2.534 -2.698 8.245
Er Ir Zn
8 1 2
Cartesian
2.534 5.625 2.771
0.000 5.130 0.557
2.534 2.973 5.020
0.000 1.572 6.840
2.534 2.432 1.550
0.000 1.031 3.370
0.000 -1.621 5.619
2.534 -1.126 7.833
2.534 0.000 0.000
2.534 0.166 5.230
0.000 3.838 3.160
```


Entry 3:
Crystalline Ac6Ni3Br2 at its relaxed geometry. Source: the Alexandria database, functional PBE.

Values from the calculation:
Its space group is C2/m, No. 12. For the total energy, the calculation gives -4.751 eV per atom. The value obtained for the raw formation energy is -629.5 meV per atom.

Cell and atoms, written as POSCAR:
```
Ac6Ni3Br2
1.0
7.211 0.000 2.124
3.606 6.514 1.062
0.132 0.000 8.249
Ac Ni Br
6 3 2
Cartesian
2.009 0.000 2.244
5.532 2.122 3.268
5.417 4.391 8.166
9.137 4.391 4.330
5.334 0.000 8.128
1.812 2.122 7.104
7.211 4.303 2.124
3.606 2.211 1.062
0.000 0.000 0.000
3.672 4.328 5.186
7.277 2.185 6.248
```


Entry 4:
Crystalline PmGe6Se8 at its relaxed geometry. Source: the Alexandria database, functional PBE.

Values from the calculation:
Its space group is R-3, No. 148. For the total energy, the calculation gives -4.451 eV per atom. The value obtained for the raw formation energy is -429.4 meV per atom.

Cell and atoms, written as POSCAR:
```
PmGe6Se8
1.0
-3.616 4.839 -4.607
-5.658 2.419 4.456
2.688 6.691 2.392
Pm Ge Se
1 6 8
Cartesian
0.000 0.000 0.000
-4.675 8.329 3.542
-5.669 8.462 -0.203
-4.333 4.060 1.293
-0.917 5.488 2.445
-2.252 9.890 0.948
-1.911 5.620 -1.301
-1.825 3.866 0.621
-4.422 5.665 -1.884
-2.406 9.073 -1.493
-6.737 6.593 1.215
-4.180 4.877 3.734
-2.164 8.284 4.125
0.151 7.357 1.026
-4.761 10.084 1.620
```


Entry 5:
Crystalline TaBe2W at its relaxed geometry. Source: the Alexandria database, functional PBE.

Values from the calculation:
Its space group is F-43m, No. 216. For the total energy, the calculation gives -7.578 eV per atom. As for the polymorph energy (0 for the lowest one): 711 meV per atom. Its formation energy is 0.49 eV per atom.

Cell and atoms, written as POSCAR:
```
TaBe2W
1.0
4.284 0.000 0.000
2.142 3.710 0.000
2.142 1.237 3.498
Be Ta W
2 1 1
Cartesian
0.000 0.000 0.000
2.142 1.237 0.874
4.284 2.473 1.749
6.426 3.710 2.623
```


Entry 6:
Crystalline CdHg2IrSe at its relaxed geometry. Source: the Alexandria database, functional PBE.

Values from the calculation:
Its space group is P4/mmm, No. 123. For the total energy, the calculation gives -1.566 eV per atom. The value obtained for the raw formation energy is 1206.4 meV per atom.

Cell and atoms, written as POSCAR:
```
CdHg2IrSe
1.0
5.187 0.000 0.000
0.000 5.177 0.000
0.000 0.000 5.187
Hg Se Ir Cd
2 1 1 1
Cartesian
2.594 0.000 0.000
0.000 0.000 2.594
0.000 0.000 0.000
2.594 2.588 2.594
0.000 2.588 0.000
```